# Sr6W3O14

An optimized crystal structure of Sr6W3O14 (PBE+U, Alexandria via LeMat-Bulk).

Computed properties:
**Symmetry**: P3, No. 143
**Total energy**: -6.911 eV per atom
**Magnetization**: 2.0 Bohr magnetons per cell

Cell: 8.915 8.915 5.659 Å, 90.00 90.00 120.00°
Atoms (fractional coordinates):
1 Sr 0.000 0.561 0.000
2 Sr 0.071 0.274 0.449
3 Sr 0.203 0.929 0.449
4 Sr 0.439 0.439 0.000
5 Sr 0.561 0.000 0.000
6 Sr 0.726 0.797 0.449
7 W 0.000 0.000 0.997
8 W 0.333 0.667 0.603
9 W 0.667 0.333 0.550
10 O 0.000 0.000 0.654
11 O 0.125 0.586 0.406
12 O 0.202 0.462 0.808
13 O 0.216 0.159 0.170
14 O 0.259 0.798 0.808
15 O 0.414 0.539 0.406
16 O 0.452 0.206 0.679
17 O 0.461 0.875 0.406
18 O 0.538 0.741 0.808
19 O 0.667 0.333 0.225
20 O 0.754 0.548 0.679
21 O 0.794 0.246 0.679
22 O 0.841 0.057 0.170
23 O 0.943 0.784 0.170